V2Cu3O8 PBEsol optimized geometry; DOS(E_F) = 0.338 states/eV per atom; energy relative to the lowest polymorph listed for this composition = 0.0 meV per atom; energy relative to the elements, uncorrected = -1.4744 eV/atom; calculated density = 4628 kg/m³; SG = P-1
1.0
5.103 0.000 0.000
1.955 4.901 0.000
0.208 2.516 6.033
V Cu O
2 3 8
direct
0.125 0.157 0.214
0.875 0.843 0.786
0.231 0.286 0.681
0.500 0.500 0.000
0.769 0.714 0.319
0.118 0.344 0.386
0.198 0.871 0.834
0.262 0.318 0.964
0.362 0.817 0.341
0.638 0.183 0.659
0.738 0.682 0.036
0.802 0.129 0.166
0.882 0.656 0.614